Computed, not measured: a relaxed structure of TlCrPt2 at the PBE level of DFT.

a = 4.605 Å, b = 4.605 Å, c = 4.605 Å
α = 60.00°, β = 60.00°, γ = 60.00°
Site moments in Bohr magnetons follow the coordinates.
Fractional coordinates of all 4 atoms:
1 Cr 0.500 0.500 0.500  3.41
2 Pt 0.000 0.000 0.000  0.01
3 Pt 0.250 0.250 0.250  0.03
4 Tl 0.750 0.750 0.750  -0.01

Output
**Calculated total energy**: -5.8851 eV per atom
**E_form**: 133 meV per atom
**Magnetization**: 3.71 μB per formula unit
**Crystal system**: cubic
**Fermi-level density of states**: 0.977 states/eV/atom
**Symmetry**: F-43m (216)